Material: BaOs2W
Method: DFT, SCAN
State: single point on PBEsol structure

Results
The calculation puts the calculated density at 14.29 g cm⁻³. The value obtained for the magnetization is 0.000 μB per formula unit. For the energy above the most stable polymorph in this dataset, the calculation gives 33.8 kJ/mol of atoms. Its symmetry is Pmm2 (25).

Unit cell a=2.8474 b=3.7077 c=7.7218 alpha=90.00 beta=90.00 gamma=90.00
With the nearest neighbours (Å) after each atom.
Fractional positions:
Os 0.0000 0.0000 0.0836  1 W 2.55, 6 Os 2.64-2.85
W 0.0000 0.0000 0.4132  5 Os 2.55-2.69, 2 W 2.85
Os 0.5000 0.5000 0.2417  6 Os 2.64-2.85, 4 W 2.69
Ba 0.5000 0.5000 0.7616  2 Ba 2.85